# 1
Below is a relaxed ZrTaAl2 crystal, with properties calculated at the PBE level.

The structure in POSCAR format:
```
ZrTaAl2
1.0
-4.4832 -1.1879 0.4855
-3.3280 2.5974 -1.9809
-2.3830 -1.6523 -3.6521
Al Zr Ta
2 1 1
direct
0.2500 0.2500 0.2500
0.7500 0.7500 0.7500
0.0000 0.0000 0.0000
0.5000 0.5000 0.5000
```

Values from the calculation:
The calculation puts the density of states at the Fermi level at 0.739 states/eV/atom. Its formation energy is -0.38 eV/f.u. The calculation puts the magnetic moment at 0.00 μB/f.u. As for the crystal system: cubic. Its relative energy among the computed polymorphs is 0.93 eV/f.u.

# 2
Below is a relaxed Cs3Tl2Sb3 crystal, with properties calculated at the PBE level.

The structure in POSCAR format:
```
Cs3Tl2Sb3
1.0
2.5516 -7.7009 0.0000
2.5516 7.7009 0.0000
0.0000 0.0000 17.5192
Cs Tl Sb
6 4 6
direct
0.0645 0.9355 0.3900
0.9355 0.0645 0.8900
0.0645 0.9355 0.1100
0.9355 0.0645 0.6100
0.3569 0.6431 0.2500
0.6431 0.3569 0.7500
0.2374 0.7626 0.9074
0.7626 0.2374 0.4074
0.2374 0.7626 0.5926
0.7626 0.2374 0.0926
0.3613 0.6387 0.4561
0.6387 0.3613 0.9561
0.3613 0.6387 0.0439
0.6387 0.3613 0.5439
0.6710 0.3290 0.2500
0.3290 0.6710 0.7500
```

Values from the calculation:
Its energy relative to the elements, uncorrected is -26 kJ per mole of atoms. The calculation puts the density of states at the Fermi level at 0.342 states/eV/atom. The calculation puts the magnetic moment at 0.00 μB/f.u. As for the crystal system: orthorhombic.

# 3
Below is a relaxed YCo2Tc2 crystal, with properties calculated at the PBE level.

The structure in POSCAR format:
```
YCo2Tc2
1.0
3.8807 0.0000 0.0000
0.0000 3.8807 0.0000
1.9404 1.9404 5.2920
Y Co Tc
1 2 2
direct
0.0000 0.0000 0.0000
0.3938 0.3938 0.2124
0.6062 0.6062 0.7876
0.7500 0.2500 0.5000
0.2500 0.7500 0.5000
```

Values from the calculation:
The calculation puts the density of states at the Fermi level at 1.315 states/eV/atom. Its formation energy is 0.07 eV/f.u. The calculation puts the magnetic moment at 0.00 μB/f.u. As for the crystal system: tetragonal. Its relative energy among the computed polymorphs is 0.00 eV/f.u.

# 4
Below is a relaxed Sr2Sb2I crystal, with properties calculated at the PBE level.

The structure in POSCAR format:
```
Sr2Sb2I
1.0
-4.5284 -2.8853 3.1950
4.1511 -1.6978 4.3503
-1.1355 2.0870 6.3848
I Sb Sr
1 2 2
direct
0.0000 0.0000 0.0000
0.3671 0.3671 0.2658
0.6329 0.6329 0.7342
0.7500 0.2500 0.5000
0.2500 0.7500 0.5000
```

Values from the calculation:
Its energy relative to the elements, uncorrected is -81 kJ per mole of atoms. The calculation puts the density of states at the Fermi level at 1.648 states/eV/atom. The calculation puts the magnetic moment at 0.00 μB/f.u. As for the crystal system: tetragonal. Its relative energy among the computed polymorphs is 0.60 eV/f.u.

# 5
Below is a relaxed Al2InBr crystal, with properties calculated at the PBE level.

The structure in POSCAR format:
```
Al2InBr
1.0
-4.9963 -1.5883 -2.1986
1.0551 -4.0540 0.5308
-1.7161 0.0584 3.8576
Al Br In
2 1 1
direct
0.0000 0.0000 0.0000
0.0000 0.5000 0.5000
0.5000 0.5000 0.0000
0.5000 0.0000 0.5000
```

Values from the calculation:
Its energy relative to the elements, uncorrected is 20 kJ per mole of atoms. The calculation puts the density of states at the Fermi level at 0.614 states/eV/atom. The calculation puts the magnetic moment at 0.00 μB/f.u. As for the crystal system: tetragonal. Its relative energy among the computed polymorphs is 0.75 eV/f.u.

# 6
Below is a relaxed KLaMn2 crystal, with properties calculated at the PBE level.

The structure in POSCAR format:
```
KLaMn2
1.0
5.2021 -0.9401 0.0000
0.9284 5.2043 0.0000
-3.0653 -2.1321 3.7423
K La Mn
1 1 2
direct
0.5000 0.5000 0.0000
0.7500 0.2500 0.5000
0.0000 0.0000 0.0000
0.2500 0.7500 0.5000
```

Values from the calculation:
The calculation puts the density of states at the Fermi level at 1.712 states/eV/atom. Its formation energy is 3.64 eV/f.u. The calculation puts the magnetic moment at 7.92 μB/f.u. As for the crystal system: tetragonal. Its relative energy among the computed polymorphs is 1.70 eV/f.u.

# 7
Below is a relaxed KGeSb crystal, with properties calculated at the PBE level.

The structure in POSCAR format:
```
KGeSb
1.0
-3.2179 -2.4338 1.1157
2.5086 -1.1584 -3.1445
11.5752 -9.4714 12.7237
K Ge Sb
3 3 3
direct
0.0000 0.0000 0.3563
0.3333 0.6667 0.0230
0.6667 0.3333 0.6896
0.0000 0.0000 0.5622
0.3333 0.6667 0.2288
0.6667 0.3333 0.8955
0.0000 0.0000 0.1607
0.3333 0.6667 0.8274
0.6667 0.3333 0.4941
```

Values from the calculation:
Its energy relative to the elements, uncorrected is -26 kJ per mole of atoms. The calculation puts the density of states at the Fermi level at 0.026 states/eV/atom. The calculation puts the magnetic moment at 0.00 μB/f.u. As for the crystal system: trigonal.

# 8
Below is a relaxed Zn2Ga2Pt crystal, with properties calculated at the PBE level.

The structure in POSCAR format:
```
Zn2Ga2Pt
1.0
3.4685 0.0000 0.0000
0.0000 3.4685 0.0000
1.7342 1.7342 7.0568
Zn Ga Pt
2 2 1
direct
0.7500 0.2500 0.5000
0.2500 0.7500 0.5000
0.4064 0.4064 0.1871
0.5936 0.5936 0.8129
0.0000 0.0000 0.0000
```

Values from the calculation:
The calculation puts the density of states at the Fermi level at 0.385 states/eV/atom. Its formation energy is 0.04 eV/f.u. The calculation puts the magnetic moment at 0.00 μB/f.u. As for the crystal system: tetragonal. Its relative energy among the computed polymorphs is 0.59 eV/f.u.

# 9
Below is a relaxed Tb2PuThP4 crystal, with properties calculated at the PBE level.

The structure in POSCAR format:
```
Tb2PuThP4
1.0
-0.7160 3.7687 -1.3439
-2.5563 1.7597 6.2966
6.9029 1.2500 -0.1723
Tb Pu Th P
2 1 1 4
direct
0.5000 0.0000 0.5000
0.0000 0.5000 0.5000
0.0000 0.0000 0.0000
0.5000 0.5000 0.0000
0.5000 0.2452 0.2488
0.5000 0.7548 0.7512
0.0000 0.2458 0.7466
0.0000 0.7542 0.2534
```

Values from the calculation:
The calculation puts the density of states at the Fermi level at 1.595 states/eV/atom. Its formation energy is -11.94 eV/f.u. The calculation puts the magnetic moment at 5.20 μB/f.u. As for the crystal system: monoclinic.

# 10
Below is a relaxed ZrTaTl crystal, with properties calculated at the PBE level.

The structure in POSCAR format:
```
ZrTaTl
1.0
4.6991 0.0000 0.0000
2.3495 4.0695 0.0000
2.3495 1.3565 3.8368
Ta Tl Zr
1 1 1
direct
0.5000 0.5000 0.5000
0.2500 0.2500 0.2500
0.0000 0.0000 0.0000
```

Values from the calculation:
The calculation puts the density of states at the Fermi level at 0.779 states/eV/atom. Its formation energy is 2.49 eV/f.u. The calculation puts the magnetic moment at 0.00 μB/f.u. As for the crystal system: cubic. Its relative energy among the computed polymorphs is 1.92 eV/f.u.

# 11
Below is a relaxed NbReSi crystal, with properties calculated at the PBE level.

The structure in POSCAR format:
```
NbReSi
1.0
5.0469 2.3007 0.2755
2.2761 5.0581 0.2755
-3.3385 -3.3547 4.3546
Re Nb Si
2 2 2
direct
0.8385 0.8385 0.7501
0.1615 0.1615 0.2499
0.5656 0.5656 0.8063
0.4344 0.4344 0.1937
0.1572 0.1572 0.6255
0.8428 0.8428 0.3745
```

Values from the calculation:
Its energy relative to the elements, uncorrected is -35 kJ per mole of atoms. The calculation puts the density of states at the Fermi level at 0.644 states/eV/atom. The calculation puts the magnetic moment at 0.00 μB/f.u. As for the crystal system: monoclinic.

# 12
Below is a relaxed TiMnH2 crystal, with properties calculated at the PBE level.

The structure in POSCAR format:
```
TiMnH2
1.0
3.9199 0.0000 0.0000
0.0000 3.9199 0.0000
1.9599 1.9599 4.4211
H Mn Ti
4 2 2
direct
0.6651 0.1250 0.2500
0.0849 0.6250 0.2500
0.3750 0.3349 0.7500
0.8750 0.9151 0.7500
0.0000 0.0000 0.0000
0.7500 0.2500 0.5000
0.5000 0.5000 0.0000
0.2500 0.7500 0.5000
```

Values from the calculation:
The calculation puts the density of states at the Fermi level at 0.256 states/eV/atom. The calculation puts the magnetic moment at 1.04 μB/f.u. As for the crystal system: tetragonal. Its relative energy among the computed polymorphs is 0.00 eV/f.u.

What is the formula in the fifth record? Al2InBr